Record 1
Crystalline Mg2FeSbO6 at its relaxed geometry, computed with PBE+U.

Results
Magnetic moment (μB per formula unit): 5.00
Fermi-level density of states (states/eV/atom): 0.000
E (eV per cell): -123.8

```
data_Mg2FeSbO6
_chemical_formula_sum 'Mg4 Fe2 Sb2 O12'
_space_group_name_H-M_alt 'P 1 21/m 1'
_space_group_IT_number 11
_cell_length_a 5.213
_cell_length_b 7.637
_cell_length_c 5.387
_cell_angle_alpha 90.00
_cell_angle_beta 90.65
_cell_angle_gamma 90.00
loop_
_space_group_symop_operation_xyz
'x,y,z'
'-x,-y,-z'
'-x,y+1/2,-z'
'x,-y+1/2,z'
loop_
_atom_site_label
_atom_site_fract_x
_atom_site_fract_y
_atom_site_fract_z
_atom_site_occupancy
Mg1 0.009 0.250 0.035 1
Mg2 0.482 0.750 0.432 1
Fe1 0.500 0.000 0.000 1
Sb1 0.000 0.000 0.500 1
O1 0.138 0.250 0.426 1
O2 0.172 0.569 0.188 1
O3 0.318 0.569 0.678 1
O4 0.378 0.250 0.929 1
```



Record 2
Crystalline MgSc4Fe4O12 at its relaxed geometry, computed with PBE+U.

Results
Magnetic moment (μB per formula unit): 7.96
E (eV per cell): -159.3

```
data_MgSc4Fe4O12
_chemical_formula_sum 'Mg1 Sc4 Fe4 O12'
_space_group_name_H-M_alt 'P 1'
_space_group_IT_number 1
_cell_length_a 5.144
_cell_length_b 5.451
_cell_length_c 8.582
_cell_angle_alpha 91.36
_cell_angle_beta 92.73
_cell_angle_gamma 91.39
loop_
_space_group_symop_operation_xyz
'x,y,z'
loop_
_atom_site_label
_atom_site_fract_x
_atom_site_fract_y
_atom_site_fract_z
_atom_site_occupancy
Mg1 0.000 0.000 0.000 1
Sc1 0.348 0.773 0.379 1
Sc2 0.481 0.933 0.847 1
Sc3 0.861 0.461 0.856 1
Sc4 0.954 0.271 0.368 1
Fe1 0.369 0.356 0.649 1
Fe2 0.416 0.340 0.125 1
Fe3 0.816 0.729 0.226 1
Fe4 0.908 0.864 0.613 1
O1 0.105 0.785 0.824 1
O2 0.112 0.559 0.531 1
O3 0.129 0.518 0.219 1
O4 0.169 0.013 0.213 1
O5 0.200 0.067 0.537 1
O6 0.219 0.270 0.860 1
O7 0.609 0.461 0.343 1
O8 0.610 0.651 0.693 1
O9 0.689 0.724 0.004 1
O10 0.694 0.160 0.701 1
O11 0.704 0.212 0.008 1
O12 0.722 0.943 0.406 1
```



Record 3
Crystalline MgSc4Fe4O12 at its relaxed geometry, computed with PBE+U.

Results
Magnetic moment (μB per formula unit): 18.02
Fermi-level density of states (states/eV/atom): 0.000
E (eV per cell): -159.7

```
data_MgSc4Fe4O12
_chemical_formula_sum 'Mg1 Sc4 Fe4 O12'
_space_group_name_H-M_alt 'P 1'
_space_group_IT_number 1
_cell_length_a 5.528
_cell_length_b 5.630
_cell_length_c 7.775
_cell_angle_alpha 84.09
_cell_angle_beta 86.57
_cell_angle_gamma 81.69
loop_
_space_group_symop_operation_xyz
'x,y,z'
loop_
_atom_site_label
_atom_site_fract_x
_atom_site_fract_y
_atom_site_fract_z
_atom_site_occupancy
Mg1 0.000 0.000 0.000 1
Sc1 0.087 0.202 0.621 1
Sc2 0.197 0.365 0.142 1
Sc3 0.562 0.797 0.130 1
Sc4 0.581 0.830 0.642 1
Fe1 0.073 0.742 0.363 1
Fe2 0.081 0.644 0.803 1
Fe3 0.573 0.312 0.829 1
Fe4 0.656 0.243 0.353 1
O1 0.207 0.259 0.881 1
O2 0.220 0.831 0.589 1
O3 0.221 0.995 0.194 1
O4 0.419 0.521 0.280 1
O5 0.430 0.663 0.908 1
O6 0.461 0.223 0.587 1
O7 0.660 0.169 0.080 1
O8 0.711 0.886 0.387 1
O9 0.808 0.501 0.694 1
O10 0.823 0.008 0.775 1
O11 0.933 0.658 0.073 1
O12 0.968 0.348 0.379 1
```



Record 4
Crystalline MgFeSe2O8 at its relaxed geometry, computed with PBE+U.

Results
Magnetic moment (μB per formula unit): 4.00
Fermi-level density of states (states/eV/atom): 0.000
E (eV per cell): -133.7

```
data_MgFeSe2O8
_chemical_formula_sum 'Mg2 Fe2 Se4 O16'
_space_group_name_H-M_alt 'I -4 m 2'
_space_group_IT_number 119
_space_group_name_Hall 'I -4 -2'
_cell_length_a 6.977
_cell_length_b 6.977
_cell_length_c 6.068
_cell_angle_alpha 90.00
_cell_angle_beta 90.00
_cell_angle_gamma 90.00
loop_
_atom_site_label
_atom_site_fract_x
_atom_site_fract_y
_atom_site_fract_z
_atom_site_occupancy
Mg1 0.000 0.000 0.000 1
Fe1 0.000 0.500 0.250 1
Se1 0.000 0.000 0.500 1
Se2 0.000 0.500 0.750 1
O1 0.000 0.182 0.319 1
O2 0.000 0.317 0.928 1
```



Record 5
Crystalline MgFeSi4O10 at its relaxed geometry, computed with PBE+U.

Results
Magnetic moment (μB per formula unit): 4.01
Fermi-level density of states (states/eV/atom): 0.000
E (eV per cell): -479.4

```
data_MgFeSi4O10
_chemical_formula_sum 'Mg4 Fe4 Si16 O40'
_space_group_name_H-M_alt 'P 4/n c c'
_space_group_IT_number 130
_cell_length_a 7.320
_cell_length_b 7.320
_cell_length_c 14.940
_cell_angle_alpha 90.00
_cell_angle_beta 90.00
_cell_angle_gamma 90.00
loop_
_space_group_symop_operation_xyz
'x,y,z'
'-x,-y,-z'
'-y+1/2,x,z'
'y+1/2,-x,-z'
'-x+1/2,-y+1/2,z'
'x+1/2,y+1/2,-z'
'y,-x+1/2,z'
'-y,x+1/2,-z'
'x+1/2,-y,-z+1/2'
'-x+1/2,y,z+1/2'
'-y,-x,-z+1/2'
'y,x,z+1/2'
'-x,y+1/2,-z+1/2'
'x,-y+1/2,z+1/2'
'y+1/2,x+1/2,-z+1/2'
'-y+1/2,-x+1/2,z+1/2'
loop_
_atom_site_label
_atom_site_fract_x
_atom_site_fract_y
_atom_site_fract_z
_atom_site_occupancy
Mg1 0.250 0.750 0.000 1
Fe1 0.250 0.250 0.068 1
Si1 0.010 0.590 0.145 1
O1 0.001 0.190 0.875 1
O2 0.019 0.664 0.424 1
O3 0.059 0.559 0.250 1
```



Record 6
Crystalline MgFeSiO4 at its relaxed geometry, computed with PBE+U.

Results
Magnetic moment (μB per formula unit): 4.00
Fermi-level density of states (states/eV/atom): 0.000
E (eV per cell): -196.6

```
data_MgFeSiO4
_chemical_formula_sum 'Mg4 Fe4 Si4 O16'
_space_group_name_H-M_alt 'I m m a'
_space_group_IT_number 74
_space_group_name_Hall '-I 2b 2'
_cell_length_a 5.761
_cell_length_b 5.898
_cell_length_c 8.250
_cell_angle_alpha 90.00
_cell_angle_beta 90.00
_cell_angle_gamma 90.00
loop_
_atom_site_label
_atom_site_fract_x
_atom_site_fract_y
_atom_site_fract_z
_atom_site_occupancy
Mg1 0.000 0.000 0.000 1
Fe1 0.250 0.250 0.250 1
Si1 0.000 0.250 0.624 1
O1 0.000 0.020 0.743 1
O2 0.239 0.250 0.508 1
```



Record 7
Crystalline MgFeSiO5 at its relaxed geometry, computed with PBE+U.

Results
Magnetic moment (μB per formula unit): 3.97
Fermi-level density of states (states/eV/atom): 0.439
E (eV per cell): -215.9

```
data_MgFeSiO5
_chemical_formula_sum 'Mg4 Fe4 Si4 O20'
_space_group_name_H-M_alt 'C 1 c 1'
_space_group_IT_number 9
_cell_length_a 6.820
_cell_length_b 8.391
_cell_length_c 7.007
_cell_angle_alpha 90.00
_cell_angle_beta 115.69
_cell_angle_gamma 90.00
loop_
_space_group_symop_operation_xyz
'x,y,z'
'x,-y,z+1/2'
'x+1/2,y+1/2,z'
'x+1/2,-y+1/2,z+1/2'
loop_
_atom_site_label
_atom_site_fract_x
_atom_site_fract_y
_atom_site_fract_z
_atom_site_occupancy
Mg1 0.000 0.180 0.000 1
Fe1 0.436 0.010 0.696 1
Si1 0.420 0.341 0.941 1
O1 0.121 0.045 0.600 1
O2 0.253 0.492 0.827 1
O3 0.333 0.219 0.070 1
O4 0.433 0.084 0.441 1
O5 0.479 0.247 0.769 1
```



Record 8
Crystalline MgFeSi2O6 at its relaxed geometry, computed with PBE+U.

Results
Magnetic moment (μB per formula unit): 4.00
Fermi-level density of states (states/eV/atom): 0.000
E (eV per cell): -141.4

```
data_MgFeSi2O6
_chemical_formula_sum 'Mg2 Fe2 Si4 O12'
_space_group_name_H-M_alt 'A m m 2'
_space_group_IT_number 38
_cell_length_a 6.737
_cell_length_b 2.723
_cell_length_c 9.366
_cell_angle_alpha 90.00
_cell_angle_beta 90.00
_cell_angle_gamma 90.00
loop_
_space_group_symop_operation_xyz
'x,y,z'
'-x,-y,z'
'-x,y,z'
'x,-y,z'
'x,y+1/2,z+1/2'
'-x,-y+1/2,z+1/2'
'-x,y+1/2,z+1/2'
'x,-y+1/2,z+1/2'
loop_
_atom_site_label
_atom_site_fract_x
_atom_site_fract_y
_atom_site_fract_z
_atom_site_occupancy
Mg1 0.000 0.000 0.000 1
Fe1 0.500 0.000 0.525 1
Si1 0.250 0.000 0.265 1
O1 0.000 0.000 0.334 1
O2 0.197 0.000 0.638 1
O3 0.298 0.000 0.888 1
O4 0.500 0.000 0.201 1
```